Run w
VASP calculation (PBEsol) on Zn4Ag5 after structural relaxation.

```
data_Zn4Ag5
_cell_length_a 3.3989
_cell_length_b 6.6226
_cell_length_c 6.6226
_cell_angle_alpha 86.22
_cell_angle_beta 75.13
_cell_angle_gamma 75.13
_symmetry_space_group_name_H-M 'P 1'
_symmetry_Int_Tables_number 1
_symmetry_space_group_name_Hall 'P 1'
loop_
_atom_site_label
_atom_site_fract_x
_atom_site_fract_y
_atom_site_fract_z
Ag1 0.0000 0.0000 0.0000
Ag2 0.6670 0.6660 0.0000
Ag3 0.3330 0.0000 0.3340
Ag4 0.6670 0.0000 0.6660
Ag5 0.3330 0.3340 0.0000
Zn1 0.6631 0.3369 0.3369
Zn2 0.3369 0.6631 0.6631
Zn3 0.0000 0.3369 0.6631
Zn4 0.0000 0.6631 0.3369
```

***

Run x
VASP calculation (PBEsol) on Zn4Ag5 after structural relaxation.

```
data_Zn4Ag5
_cell_length_a 5.4201
_cell_length_b 7.6845
_cell_length_c 7.6845
_cell_angle_alpha 120.00
_cell_angle_beta 90.00
_cell_angle_gamma 90.00
_symmetry_space_group_name_H-M 'P 1'
_symmetry_Int_Tables_number 1
_symmetry_space_group_name_Hall 'P 1'
loop_
_atom_site_label
_atom_site_fract_x
_atom_site_fract_y
_atom_site_fract_z
Ag1 0.7500 0.0000 0.7000
Ag2 0.7500 0.7000 0.0000
Ag3 0.7500 0.3000 0.3000
Ag4 0.2500 0.0000 0.3000
Ag5 0.2500 0.3000 0.0000
Ag6 0.2500 0.7000 0.7000
Ag7 0.0000 0.3333 0.6667
Ag8 0.5000 0.6667 0.3333
Ag9 0.0000 0.6667 0.3333
Ag10 0.5000 0.3333 0.6667
Zn1 0.0000 0.0000 0.0000
Zn2 0.5000 0.0000 0.0000
Zn3 0.7500 0.0000 0.3654
Zn4 0.7500 0.3654 0.0000
Zn5 0.7500 0.6346 0.6346
Zn6 0.2500 0.0000 0.6346
Zn7 0.2500 0.6346 0.0000
Zn8 0.2500 0.3654 0.3654
```

***

Structures ranked by computed energy, the most stable listed first: run x, run w.

***

Run w
VASP calculation (PBEsol) on ZnAg4 after structural relaxation.

```
data_ZnAg4
_cell_length_a 4.0287
_cell_length_b 4.8901
_cell_length_c 4.8901
_cell_angle_alpha 80.23
_cell_angle_beta 65.67
_cell_angle_gamma 65.67
_symmetry_space_group_name_H-M 'P 1'
_symmetry_Int_Tables_number 1
_symmetry_space_group_name_Hall 'P 1'
loop_
_atom_site_label
_atom_site_fract_x
_atom_site_fract_y
_atom_site_fract_z
Zn1 0.0000 0.0000 0.0000
Ag1 0.3969 0.4014 0.8048
Ag2 0.6031 0.5986 0.1952
Ag3 0.7983 0.8048 0.5986
Ag4 0.2017 0.1952 0.4014
```

***

Run x
VASP calculation (PBEsol) on ZnAg4 after structural relaxation.

```
data_ZnAg4
_cell_length_a 2.8664
_cell_length_b 2.8664
_cell_length_c 11.3990
_cell_angle_alpha 82.78
_cell_angle_beta 82.78
_cell_angle_gamma 60.00
_symmetry_space_group_name_H-M 'P 1'
_symmetry_Int_Tables_number 1
_symmetry_space_group_name_Hall 'P 1'
loop_
_atom_site_label
_atom_site_fract_x
_atom_site_fract_y
_atom_site_fract_z
Zn1 0.5000 0.5000 0.5000
Ag1 0.8966 0.8966 0.3101
Ag2 0.2990 0.2990 0.1031
Ag3 0.7010 0.7010 0.8969
Ag4 0.1034 0.1034 0.6899
```

***

Structures ranked by computed energy, the most stable listed first: run w, run x.

***

Run w
VASP calculation (PBEsol) on ZnAg4 after structural relaxation.

```
data_ZnAg4
_cell_length_a 2.8396
_cell_length_b 2.8396
_cell_length_c 10.0904
_cell_angle_alpha 98.09
_cell_angle_beta 98.09
_cell_angle_gamma 90.00
_symmetry_space_group_name_H-M 'P 1'
_symmetry_Int_Tables_number 1
_symmetry_space_group_name_Hall 'P 1'
loop_
_atom_site_label
_atom_site_fract_x
_atom_site_fract_y
_atom_site_fract_z
Zn1 0.0000 0.0000 0.0000
Ag1 0.4062 0.4062 0.8125
Ag2 0.8016 0.8016 0.6033
Ag3 0.1984 0.1984 0.3967
Ag4 0.5938 0.5938 0.1875
```

***

Run x
VASP calculation (PBEsol) on ZnAg4 after structural relaxation.

```
data_ZnAg4
_cell_length_a 2.8755
_cell_length_b 3.8960
_cell_length_c 7.5391
_cell_angle_alpha 104.97
_cell_angle_beta 100.99
_cell_angle_gamma 90.00
_symmetry_space_group_name_H-M 'P 1'
_symmetry_Int_Tables_number 1
_symmetry_space_group_name_Hall 'P 1'
loop_
_atom_site_label
_atom_site_fract_x
_atom_site_fract_y
_atom_site_fract_z
Zn1 0.5000 0.5000 0.0000
Ag1 0.9037 0.9037 0.8075
Ag2 0.3013 0.3013 0.6026
Ag3 0.6987 0.6987 0.3974
Ag4 0.0963 0.0963 0.1925
```

***

Structures ranked by computed energy, the most stable listed first: run w, run x.

***

Run w
VASP calculation (PBEsol) on Zn3Ag4 after structural relaxation.

```
data_Zn3Ag4
_cell_length_a 3.0785
_cell_length_b 3.0785
_cell_length_c 11.5080
_cell_angle_alpha 97.69
_cell_angle_beta 97.69
_cell_angle_gamma 90.00
_symmetry_space_group_name_H-M 'P 1'
_symmetry_Int_Tables_number 1
_symmetry_space_group_name_Hall 'P 1'
loop_
_atom_site_label
_atom_site_fract_x
_atom_site_fract_y
_atom_site_fract_z
Zn1 0.0000 0.0000 0.0000
Zn2 0.2823 0.2823 0.5646
Zn3 0.7177 0.7177 0.4354
Ag1 0.1493 0.1493 0.2987
Ag2 0.4317 0.4317 0.8634
Ag3 0.5683 0.5683 0.1366
Ag4 0.8507 0.8507 0.7013
```

***

Run x
VASP calculation (PBEsol) on Zn3Ag4 after structural relaxation.

```
data_Zn3Ag4
_cell_length_a 4.9018
_cell_length_b 4.9018
_cell_length_c 5.2251
_cell_angle_alpha 90.00
_cell_angle_beta 90.00
_cell_angle_gamma 120.00
_symmetry_space_group_name_H-M 'P 1'
_symmetry_Int_Tables_number 1
_symmetry_space_group_name_Hall 'P 1'
loop_
_atom_site_label
_atom_site_fract_x
_atom_site_fract_y
_atom_site_fract_z
Zn1 0.0000 0.5000 0.0000
Zn2 0.5000 0.0000 0.0000
Zn3 0.5000 0.5000 0.0000
Ag1 0.0000 0.0000 0.7452
Ag2 0.0000 0.0000 0.2548
Ag3 0.3333 0.6667 0.5000
Ag4 0.6667 0.3333 0.5000
```

***

Structures ranked by computed energy, the most stable listed first: run w, run x.

***

Run w
VASP calculation (PBEsol) on ZrAg2 after structural relaxation.

```
data_ZrAg2
_cell_length_a 3.0020
_cell_length_b 6.3553
_cell_length_c 6.1613
_cell_angle_alpha 104.52
_cell_angle_beta 90.00
_cell_angle_gamma 103.66
_symmetry_space_group_name_H-M 'P 1'
_symmetry_Int_Tables_number 1
_symmetry_space_group_name_Hall 'P 1'
loop_
_atom_site_label
_atom_site_fract_x
_atom_site_fract_y
_atom_site_fract_z
Ag1 0.0204 0.0407 0.0565
Ag2 0.3611 0.7223 0.2223
Ag3 0.7018 0.4036 0.3878
Ag4 0.3611 0.7221 0.7221
Zr1 0.0320 0.0639 0.5467
Zr2 0.6904 0.3807 0.8980
```

***

Run x
VASP calculation (PBEsol) on ZrAg2 after structural relaxation.

```
data_ZrAg2
_cell_length_a 3.2846
_cell_length_b 5.8260
_cell_length_c 6.3286
_cell_angle_alpha 106.53
_cell_angle_beta 90.00
_cell_angle_gamma 106.37
_symmetry_space_group_name_H-M 'P 1'
_symmetry_Int_Tables_number 1
_symmetry_space_group_name_Hall 'P 1'
loop_
_atom_site_label
_atom_site_fract_x
_atom_site_fract_y
_atom_site_fract_z
Zr1 0.3375 0.6751 0.4090
Zr2 0.6625 0.3249 0.5910
Ag1 0.9902 0.9803 0.7658
Ag2 0.3315 0.6631 0.9277
Ag3 0.6685 0.3369 0.0723
Ag4 0.0098 0.0197 0.2342
```

***

Run y
VASP calculation (PBEsol) on ZrAg2 after structural relaxation.

```
data_ZrAg2
_cell_length_a 2.8078
_cell_length_b 4.6999
_cell_length_c 4.6999
_cell_angle_alpha 120.00
_cell_angle_beta 90.00
_cell_angle_gamma 90.00
_symmetry_space_group_name_H-M 'P 1'
_symmetry_Int_Tables_number 1
_symmetry_space_group_name_Hall 'P 1'
loop_
_atom_site_label
_atom_site_fract_x
_atom_site_fract_y
_atom_site_fract_z
Zr1 0.0000 0.0000 0.0000
Ag1 0.4996 0.6667 0.3333
Ag2 0.5004 0.3333 0.6667
```

***

Structures ranked by computed energy, the most stable listed first: run y, run x, run w.

***

Run w
VASP calculation (PBEsol) on ZrAg2 after structural relaxation.

```
data_ZrAg2
_cell_length_a 2.9489
_cell_length_b 2.9489
_cell_length_c 7.2597
_cell_angle_alpha 90.00
_cell_angle_beta 90.00
_cell_angle_gamma 120.00
_symmetry_space_group_name_H-M 'P 1'
_symmetry_Int_Tables_number 1
_symmetry_space_group_name_Hall 'P 1'
loop_
_atom_site_label
_atom_site_fract_x
_atom_site_fract_y
_atom_site_fract_z
Ag1 0.6667 0.3333 0.3410
Ag2 0.3333 0.6667 0.6590
Zr1 0.0000 0.0000 0.0000
```

***

Run x
VASP calculation (PBEsol) on ZrAg2 after structural relaxation.

```
data_ZrAg2
_cell_length_a 2.9895
_cell_length_b 4.0932
_cell_length_c 5.0783
_cell_angle_alpha 113.77
_cell_angle_beta 107.12
_cell_angle_gamma 90.00
_symmetry_space_group_name_H-M 'P 1'
_symmetry_Int_Tables_number 1
_symmetry_space_group_name_Hall 'P 1'
loop_
_atom_site_label
_atom_site_fract_x
_atom_site_fract_y
_atom_site_fract_z
Zr1 0.0000 0.0000 0.0000
Ag1 0.3298 0.3298 0.6595
Ag2 0.6702 0.6702 0.3405
```

***

Structures ranked by computed energy, the most stable listed first: run x, run w.